Record 1
This record from Alexandria describes LaCu4Au at its PBEsol-relaxed geometry. The functional is SCAN.

Calculated values
**Space group**: F-43m
**Total magnetic moment**: 0.00 Bohr magnetons per cell

abc: 5.0650 5.0650 5.0650
angles: 60.00 60.00 60.00
Fractional positions:
La (0.0000, 0.0000, 0.0000)
Cu (0.3767, 0.3767, 0.3767)
Cu (0.3767, 0.3767, 0.8698)
Cu (0.3767, 0.8698, 0.3767)
Cu (0.8698, 0.3767, 0.3767)
Au (0.7500, 0.7500, 0.7500)

---

Record 2
This record from Alexandria describes LaCuAu2 at its PBEsol-relaxed geometry. The functional is SCAN.

Calculated values
**Space group**: P4/mmm
**Total magnetic moment**: 0.00 Bohr magnetons per cell

abc: 4.4502 4.4502 4.1423
angles: 90.00 90.00 90.00
Fractional positions:
La (0.0000, 0.0000, 0.0000)
Cu (0.5000, 0.5000, 0.0000)
Au (0.0000, 0.5000, 0.5000)
Au (0.5000, 0.0000, 0.5000)

---

Record 3
This record from Alexandria describes LaCu2Au at its PBEsol-relaxed geometry. The functional is SCAN.

Calculated values
**Space group**: R3m
**Total magnetic moment**: 0.00 Bohr magnetons per cell

abc: 5.4928 5.4928 5.4928
angles: 45.95 45.95 45.95
Fractional positions:
La (0.0000, 0.0000, 0.0000)
Cu (0.2055, 0.2055, 0.2055)
Cu (0.5216, 0.5216, 0.5216)
Au (0.7936, 0.7936, 0.7936)

---

Record 4
This record from Alexandria describes LaCu2Au at its PBEsol-relaxed geometry. The functional is SCAN.

Calculated values
**Space group**: P4/mmm
**Total magnetic moment**: 0.00 Bohr magnetons per cell

abc: 3.3479 3.3479 6.4696
angles: 90.00 90.00 90.00
Fractional positions:
La (0.0000, 0.0000, 0.0000)
Cu (0.5000, 0.5000, 0.3085)
Cu (0.5000, 0.5000, 0.6915)
Au (0.0000, 0.0000, 0.5000)

---

Record 5
This record from Alexandria describes La2Cu2Au at its PBEsol-relaxed geometry. The functional is SCAN.

Calculated values
**Space group**: P4/mbm
**Total magnetic moment**: 0.00 Bohr magnetons per cell

abc: 7.3068 7.3068 4.0447
angles: 90.00 90.00 90.00
Fractional positions:
La (0.1789, 0.3211, 0.0000)
La (0.3211, 0.8211, 0.0000)
La (0.6789, 0.1789, 0.0000)
La (0.8211, 0.6789, 0.0000)
Cu (0.1194, 0.6194, 0.5000)
Cu (0.3806, 0.1194, 0.5000)
Cu (0.6194, 0.8806, 0.5000)
Cu (0.8806, 0.3806, 0.5000)
Au (0.0000, 0.0000, 0.5000)
Au (0.5000, 0.5000, 0.5000)

---

Record 6
This record from Alexandria describes LaCuAu2 at its PBEsol-relaxed geometry. The functional is SCAN.

Calculated values
**Space group**: R-3m
**Total magnetic moment**: 0.00 Bohr magnetons per cell

abc: 5.5062 5.5062 5.5062
angles: 47.68 47.68 47.68
Fractional positions:
La (0.0000, 0.0000, 0.0000)
Cu (0.5000, 0.5000, 0.5000)
Au (0.2143, 0.2143, 0.2143)
Au (0.7857, 0.7857, 0.7857)

---

The records above give, respectively, ΔH_f (0 K) values of -0.29 -0.36 -0.44 -0.18 -0.44 -0.71 eV per atom.